1.
LiZnMoIr, optimized geometry, DFT GGA-PBE; calculated formation energy = -213.0 meV/atom; ρ = 10740 kg/m3; magnetization = 0.00 μB per formula unit; uncorrected energy = -5.933 eV per atom
1.0
4.288 0.000 0.000
2.144 3.713 0.000
2.144 1.238 3.501
Mo Ir Zn Li
1 1 1 1
direct
0.500 0.500 0.500
0.250 0.250 0.250
0.000 0.000 0.000
0.750 0.750 0.750

2.
Nb4IrW2, optimized geometry, DFT GGA-PBE; calculated formation energy = 1229.5 meV/atom; ρ = 10261 kg/m3; magnetization = 0.00 μB per formula unit; uncorrected energy = -9.491 eV per atom
1.0
4.803 0.000 0.000
0.000 4.803 0.000
2.402 2.402 6.534
Nb Ir W
4 1 2
direct
0.804 0.804 0.392
0.196 0.196 0.608
0.000 0.500 0.000
0.500 0.000 0.000
0.000 0.000 0.000
0.614 0.614 0.772
0.386 0.386 0.228

3.
CaU2P2O18, optimized geometry, DFT GGA-PBE; raw formation energy = -1.67 eV per atom; ρ = 3425 kg/m3; magnetization = 3.82 μB per formula unit; uncorrected energy = -7.085 eV per atom
1.0
-2.409 4.692 4.547
-4.736 -4.616 2.253
6.015 -2.452 5.717
Ca U P O
1 2 2 18
direct
0.500 0.931 0.675
0.500 0.712 0.091
0.000 0.205 0.885
0.000 0.704 0.991
0.500 0.189 0.988
0.500 0.034 0.108
0.500 0.392 0.071
0.815 0.706 0.095
0.185 0.706 0.095
0.000 0.884 0.899
0.000 0.526 0.877
0.673 0.158 0.875
0.327 0.158 0.875
0.500 0.703 0.386
0.000 0.181 0.673
0.500 0.728 0.873
0.000 0.237 0.094
0.500 0.213 0.412
0.334 0.771 0.458
0.666 0.771 0.458
0.000 0.843 0.624
0.395 0.263 0.555
0.605 0.263 0.555

4.
Dy5ScRh6, optimized geometry, DFT GGA-PBE; calculated formation energy = -885.6 meV/atom; ρ = 10432 kg/m3; magnetization = 0.00 μB per formula unit; uncorrected energy = -7.006 eV per atom
1.0
0.939 -0.005 4.672
-5.205 -4.363 1.042
4.934 -5.542 1.446
Sc Rh Dy
1 6 5
direct
0.000 0.000 0.000
0.837 0.754 0.327
0.837 0.246 0.327
0.500 0.241 0.000
0.500 0.759 0.000
0.163 0.754 0.673
0.163 0.246 0.673
0.666 0.500 0.667
0.335 0.000 0.329
0.000 0.500 0.000
0.665 0.000 0.671
0.334 0.500 0.333

5.
IrPtN2, optimized geometry, DFT GGA-PBE; raw formation energy = 1.78 eV per atom; ρ = 15946 kg/m3; magnetization = 0.00 μB per formula unit; uncorrected energy = -6.113 eV per atom
1.0
0.031 -2.136 3.311
1.477 1.529 3.317
-2.404 0.944 2.976
Ir Pt N
1 1 2
direct
0.000 0.000 0.000
0.500 0.500 0.500
0.250 0.250 0.250
0.750 0.750 0.750

6.
UNiRuRh, optimized geometry, DFT GGA-PBE; calculated formation energy = -191.3 meV/atom; ρ = 13088 kg/m3; magnetization = 0.77 μB per formula unit; uncorrected energy = -8.616 eV per atom
1.0
4.479 0.000 0.000
2.239 3.879 0.000
2.239 1.293 3.657
Ni Rh U Ru
1 1 1 1
direct
0.750 0.750 0.750
0.500 0.500 0.500
0.250 0.250 0.250
0.000 0.000 0.000

7.
FePt2Cl, optimized geometry, DFT GGA-PBE; raw formation energy = 0.54 eV per atom; ρ = 12567 kg/m3; magnetization = 4.40 μB per formula unit; uncorrected energy = -5.056 eV per atom
1.0
0.000 3.168 3.168
3.168 0.000 3.168
3.168 3.168 0.000
Fe Pt Cl
1 2 1
direct
0.500 0.500 0.500
0.250 0.250 0.250
0.750 0.750 0.750
0.000 0.000 0.000

8.
Hf2InAg, optimized geometry, DFT GGA-PBE; calculated formation energy = 74.2 meV/atom; ρ = 11248 kg/m3; magnetization = 0.00 μB per formula unit; uncorrected energy = -6.300 eV per atom
1.0
-2.852 -1.040 -0.836
-0.573 -3.093 -0.125
-3.992 -1.235 9.230
Hf Ag In
2 1 1
direct
0.253 0.253 0.241
0.747 0.747 0.759
0.000 0.000 0.000
0.500 0.500 0.500

9.
Sc4Cd5Pb, optimized geometry, DFT GGA-PBE; calculated formation energy = -213.1 meV/atom; ρ = 6792 kg/m3; magnetization = 0.52 μB per formula unit; uncorrected energy = -3.574 eV per atom
1.0
-0.591 -2.047 2.848
-1.988 -2.185 -1.982
14.902 -9.905 -4.027
Sc Cd Pb
4 5 1
direct
0.000 0.000 0.212
0.000 0.000 0.405
0.000 0.000 0.595
0.000 0.000 0.788
0.500 0.500 0.117
0.500 0.500 0.312
0.500 0.500 0.500
0.500 0.500 0.688
0.500 0.500 0.883
0.000 0.000 0.000

10.
YSb2, optimized geometry, DFT GGA-PBE; raw formation energy = -0.69 eV per atom; ρ = 6041 kg/m3; magnetization = 0.00 μB per formula unit; uncorrected energy = -5.593 eV per atom
1.0
18.749 0.000 0.000
0.000 4.372 0.000
0.000 0.000 4.459
Y Sb
4 8
direct
0.831 0.000 0.324
0.169 0.000 0.324
0.331 0.500 0.824
0.669 0.500 0.824
0.000 0.500 0.680
0.500 0.000 0.180
0.000 0.000 0.244
0.500 0.500 0.744
0.336 0.000 0.321
0.664 0.000 0.321
0.836 0.500 0.821
0.164 0.500 0.821

11.
NpZn2Cd, optimized geometry, DFT GGA-PBE; calculated formation energy = 105.7 meV/atom; ρ = 10749 kg/m3; magnetization = 2.88 μB per formula unit; uncorrected energy = -3.995 eV per atom
1.0
-2.260 1.649 -0.596
-2.622 -1.141 -0.076
-2.818 2.223 9.971
Np Zn Cd
1 2 1
direct
0.500 0.500 0.500
0.251 0.251 0.248
0.749 0.749 0.752
0.000 0.000 0.000

12.
FeSiC2, optimized geometry, DFT GGA-PBE; raw formation energy = 0.51 eV per atom; ρ = 4520 kg/m3; magnetization = 1.76 μB per formula unit; uncorrected energy = -7.571 eV per atom
1.0
-4.519 -2.697 -2.316
1.726 -1.231 -1.934
2.369 -2.709 3.839
C Si Fe
4 2 2
direct
0.606 0.000 0.816
0.606 0.500 0.316
0.102 0.000 0.377
0.102 0.500 0.877
0.966 0.000 0.993
0.966 0.500 0.493
0.430 0.000 0.060
0.430 0.500 0.560